Sn2ClF | GGA-PBE | optimized geometry

Properties
- Excess energy over the best structure of this formula in the dataset: 0.0 meV per atom
- Raw formation energy: -0.86 eV/atom
- E: -3.79 eV/atom

a = 4.521 Å, b = 4.521 Å, c = 9.671 Å
α = 76.48°, β = 76.48°, γ = 90.00°
Positions (direct):
Cl1 0.750 0.250 0.500
Cl2 0.000 0.000 0.000
F1 0.500 0.500 0.000
F2 0.250 0.750 0.500
Sn1 0.602 0.125 0.250
Sn2 0.875 0.852 0.750
Sn3 0.148 0.625 0.250
Sn4 0.375 0.398 0.750